A plane-wave DFT calculation with GGA-PBE was carried out for a geometry-optimized CrCoAg2 structure.

Properties
calculated volume	62.86	Å³/cell
formation enthalpy at 0 K	0.58	eV/atom
space group	P2/m
ΔE to the lowest computed polymorph	1.04	eV per formula unit

a b c (Å): 4.5008 2.7375 5.1881
angles (deg): 79.55 90.00 90.00
Last column: nearest neighbours and their distance in Å.
Fractional positions:
Ag (0.0000, 0.0334, 0.0072)  2 Co 2.70, 5 Ag 2.71-2.97, 2 Cr 2.80
Ag (0.0000, 0.4666, 0.4928)  2 Co 2.70, 5 Ag 2.71-2.97, 2 Cr 2.80
Co (0.5000, 0.2500, 0.2500)  4 Ag 2.70, 2 Cr 2.70, 2 Co 2.74
Cr (0.5000, 0.7500, 0.7500)  2 Co 2.70, 2 Cr 2.74, 4 Ag 2.80